Record 1
Compound: KSmZnTe3
Source: the Alexandria database
Functional: PBE-GGA
Structure: optimized geometry

Cell lengths 9.7568, 4.4468, 10.5447 Å; angles 90.00, 107.61, 90.00 degrees
Space group P2_1/m (No. 11)
Unique sites:
K 0.2094 0.2500 0.2393 x2
Sm 0.3256 0.7500 0.8597 x2
Zn 0.0834 0.2500 0.6074 x2
Te 0.0971 0.2500 0.8618 x2
Te 0.2066 0.7500 0.5334 x2
Te 0.4597 0.7500 0.1678 x2

---

Record 2
Compound: Rb3Th3ScTe8
Source: the Alexandria database
Functional: PBE-GGA
Structure: optimized geometry

Cell lengths 8.8693, 8.8693, 26.7841 Å; angles 90.00, 90.00, 120.00 degrees
Space group R-3m (No. 166, hexagonal axes)
Unique sites:
Rb 0.0000 0.5000 0.0000 x9
Th 0.0000 0.5000 0.5000 x9
Sc 0.0000 0.0000 0.5000 x3
Te 0.0000 0.0000 0.2376 x6
Te 0.0144 0.5072 0.2326 x18

---

Going through the records in order, we get total DFT energy (no corrections) values of -45.83, -223.81 eV/cell.